# 1
A relaxed structure of SiNiPd2. Source: Alexandria, functional PBE.

As for the raw total energy: -5.7699 eV per atom. The calculation puts the energy relative to the elements, uncorrected at -372 meV/atom. The calculation puts the volume at 13.377 A^3/atom. The magnetic moment comes out at 0.000 μB per atom.

The space group is P4/mmm (No. 123) and the conventional cell measures 3.827, 3.827 and 3.653 Å, with angles of 90.00, 90.00 and 90.00 degrees. The asymmetric unit holds Si at (0.000, 0.000, 0.000), Ni at (0.500, 0.500, 0.000) and Pd at (0.000, 0.500, 0.500).



# 2
A relaxed structure of SiNi2Pd2. Source: Alexandria, functional PBE.

As for the raw total energy: -5.6508 eV per atom. The calculation puts the energy relative to the elements, uncorrected at -177 meV/atom. The calculation puts the volume at 13.476 A^3/atom. The magnetic moment comes out at 0.000 μB per atom.

The space group is P4/mbm (No. 127) and the conventional cell measures 5.772, 5.772 and 4.044 Å, with angles of 90.00, 90.00 and 90.00 degrees. The asymmetric unit holds Si at (0.000, 0.000, 0.000), Ni at (0.140, 0.360, 0.000) and Pd at (0.171, 0.671, 0.500).



# 3
A relaxed structure of SiNiPd2. Source: Alexandria, functional PBE.

As for the raw total energy: -5.4336 eV per atom. The calculation puts the energy relative to the elements, uncorrected at -36 meV/atom. The calculation puts the volume at 14.831 A^3/atom. The magnetic moment comes out at 0.000 μB per atom.

The space group is I-42d (No. 122) and the conventional cell measures 3.710, 3.710 and 17.237 Å, with angles of 90.00, 90.00 and 90.00 degrees. The asymmetric unit holds Si at (0.000, 0.000, 0.000), Ni at (0.000, 0.000, 0.500) and Pd at (0.248, 0.250, 0.125).